Entry 1:
VASP calculation (PBEsol) on an optimized crystal structure of TlTcAs2.

Geometry as POSCAR:
```
TlTcAs2
1.0
3.214 0.000 0.000
0.000 3.214 0.000
0.000 0.000 7.417
Tl Tc As
1 1 2
Direct
0.500 0.500 0.719 Tl
0.000 0.000 0.425 Tc
0.500 0.500 0.288 As
0.000 0.000 0.068 As
```

The value obtained for the energy of formation from the pure elements is 0.9 eV per formula unit. The value obtained for the distance to the lowest polymorph of the same formula is 191.3 meV/atom. The final energy is -5.81 eV/atom.

Entry 2:
VASP calculation (PBEsol) on an optimized crystal structure of Ni2POs.

Geometry as POSCAR:
```
Ni2POs
1.0
-1.064 -1.570 -1.959
1.717 -2.795 1.307
-3.308 -0.221 3.871
P Ni Os
1 2 1
Direct
0.665 0.500 0.330 P
0.079 0.000 0.158 Ni
0.448 0.500 0.896 Ni
0.812 0.000 0.625 Os
```

The value obtained for the energy of formation from the pure elements is -0.4 eV per formula unit. The value obtained for the distance to the lowest polymorph of the same formula is 0.0 meV/atom. The final energy is -7.69 eV/atom.

Entry 3:
VASP calculation (PBEsol) on an optimized crystal structure of La2TlAg.

Geometry as POSCAR:
```
La2TlAg
1.0
3.753 0.000 0.000
0.000 3.753 0.000
0.000 0.000 7.945
Ag La Tl
1 2 1
Direct
0.500 0.500 0.500 Ag
0.000 0.000 0.264 La
0.000 0.000 0.736 La
0.500 0.500 0.000 Tl
```

The value obtained for the energy of formation from the pure elements is -1.4 eV per formula unit. The value obtained for the distance to the lowest polymorph of the same formula is 0.0 meV/atom. The final energy is -4.50 eV/atom.